(1)
# TlCo2Pt2, single point on PBEsol structure, DFT SCAN
# Magnetic moment: 4.76 μB per formula unit
# ΔE_f: 0.24 eV per atom
data_TlCo2Pt2
_chemical_formula_sum 'Tl2 Co4 Pt4'
_symmetry_space_group_name_H-M 'I 4/m m m'
_symmetry_Int_Tables_number 139
_symmetry_space_group_name_Hall '-I 4 2'
_cell_length_a 3.782
_cell_length_b 3.782
_cell_length_c 11.035
_cell_angle_alpha 90.00
_cell_angle_beta 90.00
_cell_angle_gamma 90.00
loop_
_atom_site_label
_atom_site_type_symbol
_atom_site_fract_x
_atom_site_fract_y
_atom_site_fract_z
_atom_site_occupancy
Tl1 Tl 0.000 0.000 0.000 1
Co1 Co 0.000 0.000 0.401 1
Pt1 Pt 0.000 0.500 0.250 1

=====

(2)
# CoPt2W, single point on PBEsol structure, DFT SCAN
# Magnetic moment: 1.50 μB per formula unit
# Energy above the most stable polymorph in this dataset: 54.1 meV per atom
# ΔE_f: -0.20 eV per atom
data_CoPt2W
_chemical_formula_sum 'Co2 Pt4 W2'
_symmetry_space_group_name_H-M 'I 4/m m m'
_symmetry_Int_Tables_number 139
_symmetry_space_group_name_Hall '-I 4 2'
_cell_length_a 3.764
_cell_length_b 3.764
_cell_length_c 7.790
_cell_angle_alpha 90.00
_cell_angle_beta 90.00
_cell_angle_gamma 90.00
loop_
_atom_site_label
_atom_site_type_symbol
_atom_site_fract_x
_atom_site_fract_y
_atom_site_fract_z
_atom_site_occupancy
Co1 Co 0.000 0.000 0.000 1
Pt1 Pt 0.000 0.500 0.250 1
W1 W 0.000 0.000 0.500 1

=====

(3)
# CoPtW2, single point on PBEsol structure, DFT SCAN
# Magnetic moment: 0.00 μB per formula unit
# Energy above the most stable polymorph in this dataset: 57.8 meV per atom
# ΔE_f: -0.04 eV per atom
data_CoPtW2
_chemical_formula_sum 'Co1 Pt1 W2'
_symmetry_space_group_name_H-M 'P m m 2'
_symmetry_Int_Tables_number 25
_cell_length_a 2.691
_cell_length_b 4.352
_cell_length_c 4.783
_cell_angle_alpha 90.00
_cell_angle_beta 90.00
_cell_angle_gamma 90.00
loop_
_symmetry_equiv_pos_as_xyz
'x,y,z'
'-x,-y,z'
'-x,y,z'
'x,-y,z'
loop_
_atom_site_label
_atom_site_type_symbol
_atom_site_fract_x
_atom_site_fract_y
_atom_site_fract_z
_atom_site_occupancy
Co1 Co 0.000 0.000 0.000 1
Pt1 Pt 0.000 0.500 0.666 1
W1 W 0.500 0.000 0.488 1
W2 W 0.500 0.500 0.150 1

=====

(4)
# CoPtW2, single point on PBEsol structure, DFT SCAN
# Magnetic moment: 0.98 μB per formula unit
# Energy above the most stable polymorph in this dataset: 28.6 meV per atom
# ΔE_f: -0.07 eV per atom
data_CoPtW2
_chemical_formula_sum 'Co1 Pt1 W2'
_symmetry_space_group_name_H-M 'P m m m'
_symmetry_Int_Tables_number 47
_cell_length_a 2.683
_cell_length_b 3.884
_cell_length_c 5.374
_cell_angle_alpha 90.00
_cell_angle_beta 90.00
_cell_angle_gamma 90.00
loop_
_symmetry_equiv_pos_as_xyz
'x,y,z'
'-x,-y,-z'
'-x,-y,z'
'x,y,-z'
'x,-y,-z'
'-x,y,z'
'-x,y,-z'
'x,-y,z'
loop_
_atom_site_label
_atom_site_type_symbol
_atom_site_fract_x
_atom_site_fract_y
_atom_site_fract_z
_atom_site_occupancy
Co1 Co 0.000 0.000 0.000 1
Pt1 Pt 0.000 0.000 0.500 1
W1 W 0.500 0.500 0.236 1

=====

(5)
# CoPt2W, single point on PBEsol structure, DFT SCAN
# Magnetic moment: 1.96 μB per formula unit
# Energy above the most stable polymorph in this dataset: 214.1 meV per atom
# ΔE_f: -0.04 eV per atom
data_CoPt2W
_chemical_formula_sum 'Co3 Pt6 W3'
_symmetry_space_group_name_H-M 'R -3 m'
_symmetry_Int_Tables_number 166
_symmetry_space_group_name_Hall '-R 3 2"'
_cell_length_a 2.7371
_cell_length_b 2.7371
_cell_length_c 26.1775
_cell_angle_alpha 90.00
_cell_angle_beta 90.00
_cell_angle_gamma 120.00
loop_
_atom_site_label
_atom_site_type_symbol
_atom_site_fract_x
_atom_site_fract_y
_atom_site_fract_z
_atom_site_occupancy
Co1 Co 0.0000 0.0000 0.0000 1
Pt1 Pt 0.0000 0.0000 0.2532 1
W1 W 0.0000 0.0000 0.5000 1

=====

(6)
# CoPtW2, single point on PBEsol structure, DFT SCAN
# Magnetic moment: 1.32 μB per formula unit
# Energy above the most stable polymorph in this dataset: 223.3 meV per atom
# ΔE_f: 0.12 eV per atom
data_CoPtW2
_chemical_formula_sum 'Co1 Pt1 W2'
_symmetry_space_group_name_H-M 'P 1 2/m 1'
_symmetry_Int_Tables_number 10
_cell_length_a 4.619
_cell_length_b 2.761
_cell_length_c 4.699
_cell_angle_alpha 90.00
_cell_angle_beta 108.43
_cell_angle_gamma 90.00
loop_
_symmetry_equiv_pos_as_xyz
'x,y,z'
'-x,-y,-z'
'-x,y,-z'
'x,-y,z'
loop_
_atom_site_label
_atom_site_type_symbol
_atom_site_fract_x
_atom_site_fract_y
_atom_site_fract_z
_atom_site_occupancy
Co1 Co 0.000 0.000 0.000 1
Pt1 Pt 0.500 0.500 0.000 1
W1 W 0.000 0.500 0.500 1
W2 W 0.500 0.000 0.500 1

=====

(7)
# CoPtW2, single point on PBEsol structure, DFT SCAN
# Magnetic moment: 0.63 μB per formula unit
# Energy above the most stable polymorph in this dataset: 0.0 meV per atom
# ΔE_f: -0.10 eV per atom
data_CoPtW2
_chemical_formula_sum 'Co2 Pt2 W4'
_symmetry_space_group_name_H-M 'I 4/m m m'
_symmetry_Int_Tables_number 139
_symmetry_space_group_name_Hall '-I 4 2'
_cell_length_a 3.760
_cell_length_b 3.760
_cell_length_c 7.893
_cell_angle_alpha 90.00
_cell_angle_beta 90.00
_cell_angle_gamma 90.00
loop_
_atom_site_label
_atom_site_type_symbol
_atom_site_fract_x
_atom_site_fract_y
_atom_site_fract_z
_atom_site_occupancy
Co1 Co 0.000 0.000 0.000 1
Pt1 Pt 0.000 0.000 0.500 1
W1 W 0.000 0.500 0.250 1

=====

(8)
# CoPt2W, single point on PBEsol structure, DFT SCAN
# Magnetic moment: 1.30 μB per formula unit
# Energy above the most stable polymorph in this dataset: 252.8 meV per atom
# ΔE_f: -0.01 eV per atom
data_CoPt2W
_chemical_formula_sum 'Co1 Pt2 W1'
_symmetry_space_group_name_H-M 'P 1 2/m 1'
_symmetry_Int_Tables_number 10
_cell_length_a 4.671
_cell_length_b 2.723
_cell_length_c 4.685
_cell_angle_alpha 90.00
_cell_angle_beta 110.00
_cell_angle_gamma 90.00
loop_
_symmetry_equiv_pos_as_xyz
'x,y,z'
'-x,-y,-z'
'-x,y,-z'
'x,-y,z'
loop_
_atom_site_label
_atom_site_type_symbol
_atom_site_fract_x
_atom_site_fract_y
_atom_site_fract_z
_atom_site_occupancy
Co1 Co 0.000 0.000 0.000 1
Pt1 Pt 0.000 0.500 0.500 1
Pt2 Pt 0.500 0.000 0.500 1
W1 W 0.500 0.500 0.000 1